(1)
DFT (GGA-PBE) results for an optimized crystal structure of AcNdMgZn.

abc: 3.8647 3.8647 7.9389
angles: 90.00 90.00 90.00
Element x y z (fractional)
Ac (0.0000, 0.0000, 0.0000)
Nd (0.0000, 0.0000, 0.4592)
Mg (0.5000, 0.5000, 0.7091)
Zn (0.5000, 0.5000, 0.2590)

Results
The mass density comes out at 6.46 g cm⁻³. The formation energy comes out at -0.177 eV per atom. As for the space group: P4mm (99). As for the total energy: -3.11 eV per atom. The calculation puts the energy above the most stable polymorph in this dataset at 0 meV/atom. The crystal system is tetragonal.

=====

(2)
DFT (GGA-PBE) results for an optimized crystal structure of Ac2MgNi.

abc: 4.1621 4.1621 31.6711
angles: 90.00 90.00 120.00
Element x y z (fractional)
Ac (0.0000, 0.0000, 0.1152)
Ac (0.0000, 0.0000, 0.8848)
Ac (0.3333, 0.6667, 0.5515)
Ac (0.3333, 0.6667, 0.7819)
Ac (0.6667, 0.3333, 0.2181)
Ac (0.6667, 0.3333, 0.4485)
Mg (0.0000, 0.0000, 0.0000)
Mg (0.3333, 0.6667, 0.6667)
Mg (0.6667, 0.3333, 0.3333)
Ni (0.0000, 0.0000, 0.5000)
Ni (0.3333, 0.6667, 0.1667)
Ni (0.6667, 0.3333, 0.8333)

Results
The mass density comes out at 5.63 g cm⁻³. The formation energy comes out at 0.139 eV per atom. As for the space group: R-3m (166). As for the total energy: -3.76 eV per atom. The calculation puts the energy above the most stable polymorph in this dataset at 236 meV/atom. The crystal system is trigonal.

=====

(3)
DFT (GGA-PBE) results for an optimized crystal structure of Ac6MgNi2.

abc: 9.2850 9.2850 9.2850
angles: 113.70 108.70 106.10
Element x y z (fractional)
Ac (0.0392, 0.2339, 0.8053)
Ac (0.1762, 0.2919, 0.4681)
Ac (0.1762, 0.7081, 0.8843)
Ac (0.3266, 0.0094, 0.6828)
Ac (0.3266, 0.6437, 0.3172)
Ac (0.4286, 0.2339, 0.1947)
Ac (0.5714, 0.7661, 0.8053)
Ac (0.6734, 0.3563, 0.6828)
Ac (0.6734, 0.9906, 0.3172)
Ac (0.8238, 0.2919, 0.1157)
Ac (0.8238, 0.7081, 0.5319)
Ac (0.9608, 0.7661, 0.1947)
Mg (0.0000, 0.0000, 0.0000)
Mg (0.5000, 0.5000, 0.0000)
Ni (0.1198, 0.6198, 0.5000)
Ni (0.3009, 0.0000, 0.3009)
Ni (0.6991, 0.0000, 0.6991)
Ni (0.8802, 0.3802, 0.5000)

Results
The mass density comes out at 8.14 g cm⁻³. The formation energy comes out at -0.118 eV per atom. As for the space group: Immm (71). As for the total energy: -4.32 eV per atom. The crystal system is orthorhombic.